Record 1
## Gd2InPb (PBE)

Data for a relaxed structure of Gd2InPb.

Properties
* total DFT energy (no corrections): -8.9960 eV/atom
* polymorph energy (0 for the lowest one): 0.172 eV/atom
* formation energy from the elements: -1.4 eV per formula unit
* V: 119.0 Å³/cell
* space-group type: R-3m, No. 166
* DOS at the Fermi energy: 4.18 states/eV/f.u.

abc: 3.7064 3.7064 10.2299
angles: 79.56 79.56 60.00
With the nearest neighbours (Å) after each atom.
Positions (direct):
Pb 0.0000 0.0000 0.0000  6 Gd 3.35, 6 Pb 3.71
Gd 0.7524 0.7524 0.7427  3 In 3.24, 3 Pb 3.35
Gd 0.2476 0.2476 0.2573  3 In 3.24, 3 Pb 3.35
In 0.5000 0.5000 0.5000  6 Gd 3.24

=====

Record 2
## GdInPb2 (PBE)

Data for a relaxed structure of GdInPb2.

Properties
* total DFT energy (no corrections): -5.9574 eV/atom
* polymorph energy (0 for the lowest one): 0.454 eV/atom
* formation energy from the elements: 0.4 eV per formula unit
* V: 126.6 Å³/cell
* space-group type: R-3m, No. 166
* DOS at the Fermi energy: 3.99 states/eV/f.u.

abc: 3.5405 3.5405 11.8439
angles: 81.40 81.40 60.00
With the nearest neighbours (Å) after each atom.
Positions (direct):
Pb 0.0912 0.0912 0.7263  1 Gd 3.19, 3 In 3.34, 6 Pb 3.54
Pb 0.9088 0.9088 0.2737  1 Gd 3.19, 3 In 3.34, 6 Pb 3.54
Gd 0.0000 0.0000 0.0000  2 Pb 3.19, 6 Gd 3.54
In 0.5000 0.5000 0.5000  6 Pb 3.34, 6 In 3.54

=====

Record 3
## Gd2InPb (PBE)

Data for a relaxed structure of Gd2InPb.

Properties
* total DFT energy (no corrections): -9.1685 eV/atom
* polymorph energy (0 for the lowest one): 0.000 eV/atom
* formation energy from the elements: -2.1 eV per formula unit
* V: 110.8 Å³/cell
* space-group type: P4/mmm, No. 123
* DOS at the Fermi energy: 2.31 states/eV/f.u.

abc: 4.5607 4.9279 4.9279
angles: 90.00 90.00 90.00
With the nearest neighbours (Å) after each atom.
Positions (direct):
Pb 0.5000 0.5000 0.5000  8 Gd 3.36, 4 In 3.48
Gd 0.0000 0.0000 0.5000  4 In 3.36, 4 Pb 3.36, 4 Gd 3.48
Gd 0.0000 0.5000 0.0000  4 In 3.36, 4 Pb 3.36, 4 Gd 3.48
In 0.5000 0.0000 0.0000  8 Gd 3.36, 4 Pb 3.48

=====

Record 4
## Gd2InPb (PBE)

Data for a relaxed structure of Gd2InPb.

Properties
* total DFT energy (no corrections): -9.1267 eV/atom
* polymorph energy (0 for the lowest one): 0.042 eV/atom
* formation energy from the elements: -1.9 eV per formula unit
* V: 112.9 Å³/cell
* space-group type: P4/mmm, No. 123
* DOS at the Fermi energy: 3.12 states/eV/f.u.

abc: 4.0334 4.0334 6.9375
angles: 90.00 90.00 90.00
With the nearest neighbours (Å) after each atom.
Positions (direct):
Pb 0.5000 0.5000 0.0000  8 Gd 3.34, 2 In 3.47
Gd 0.0000 0.0000 0.7505  4 Pb 3.34, 4 In 3.34, 2 Gd 3.46-3.48
Gd 0.0000 0.0000 0.2495  4 Pb 3.34, 4 In 3.34, 2 Gd 3.46-3.48
In 0.5000 0.5000 0.5000  8 Gd 3.34, 2 Pb 3.47

=====

Record 5
## Gd2InPb (PBE)

Data for a relaxed structure of Gd2InPb.

Properties
* total DFT energy (no corrections): -9.1073 eV/atom
* polymorph energy (0 for the lowest one): 0.061 eV/atom
* formation energy from the elements: -1.8 eV per formula unit
* V: 113.5 Å³/cell
* space-group type: Fm-3m, No. 225
* DOS at the Fermi energy: 4.15 states/eV/f.u.

abc: 5.4354 5.4354 5.4354
angles: 60.00 60.00 60.00
With the nearest neighbours (Å) after each atom.
Positions (direct):
Pb 0.0000 0.0000 0.0000  8 Gd 3.33
Gd 0.2500 0.2500 0.2500  4 In 3.33, 4 Pb 3.33
Gd 0.7500 0.7500 0.7500  4 Pb 3.33, 4 In 3.33
In 0.5000 0.5000 0.5000  8 Gd 3.33

=====

Record 6
## GdIn2Pb (PBE)

Data for a relaxed structure of GdIn2Pb.

Properties
* total DFT energy (no corrections): -5.9971 eV/atom
* polymorph energy (0 for the lowest one): 0.207 eV/atom
* formation energy from the elements: -0.7 eV per formula unit
* V: 114.4 Å³/cell
* space-group type: Fm-3m, No. 225
* DOS at the Fermi energy: 4.12 states/eV/f.u.

abc: 5.4491 5.4491 5.4491
angles: 60.00 60.00 60.00
With the nearest neighbours (Å) after each atom.
Positions (direct):
Pb 0.5000 0.5000 0.5000  8 In 3.34
Gd 0.0000 0.0000 0.0000  8 In 3.34
In 0.2500 0.2500 0.2500  4 Gd 3.34, 4 Pb 3.34
In 0.7500 0.7500 0.7500  4 Pb 3.34, 4 Gd 3.34

=====

Record 7
## GdIn2Pb (PBE)

Data for a relaxed structure of GdIn2Pb.

Properties
* total DFT energy (no corrections): -6.2043 eV/atom
* polymorph energy (0 for the lowest one): 0.000 eV/atom
* formation energy from the elements: -1.6 eV per formula unit
* V: 106.7 Å³/cell
* space-group type: P4/mmm, No. 123
* DOS at the Fermi energy: 2.44 states/eV/f.u.

abc: 4.9734 4.6314 4.6314
angles: 90.00 90.00 90.00
With the nearest neighbours (Å) after each atom.
Positions (direct):
Pb 0.5000 0.0000 0.0000  4 Gd 3.27, 8 In 3.40
Gd 0.5000 0.5000 0.5000  4 Pb 3.27, 8 In 3.40
In 0.0000 0.0000 0.5000  4 In 3.27, 4 Gd 3.40, 4 Pb 3.40
In 0.0000 0.5000 0.0000  4 In 3.27, 4 Gd 3.40, 4 Pb 3.40

=====

Record 8
## GdIn2Pb (PBE)

Data for a relaxed structure of GdIn2Pb.

Properties
* total DFT energy (no corrections): -6.0371 eV/atom
* polymorph energy (0 for the lowest one): 0.167 eV/atom
* formation energy from the elements: -0.9 eV per formula unit
* V: 111.0 Å³/cell
* space-group type: P4/mmm, No. 123
* DOS at the Fermi energy: 3.17 states/eV/f.u.

abc: 3.9319 3.9319 7.1793
angles: 90.00 90.00 90.00
With the nearest neighbours (Å) after each atom.
Positions (direct):
Pb 0.5000 0.5000 0.0000  8 In 3.27, 2 Gd 3.59
Gd 0.5000 0.5000 0.5000  8 In 3.35, 2 Pb 3.59
In 0.0000 0.0000 0.7608  4 Pb 3.27, 4 Gd 3.35, 1 In 3.43
In 0.0000 0.0000 0.2392  4 Pb 3.27, 4 Gd 3.35, 1 In 3.43